DFT (PBE) results for Ba2LaTaNi after structural relaxation.

POSCAR file:
```
Ba2LaTaNi
1.0
6.1025 0.0000 0.0000
0.0000 4.7850 0.0000
0.0000 0.0000 6.1025
Ni Ba La Ta
1 2 1 1
direct
0.0000 0.0000 0.0000 Ni
0.0000 0.0000 0.5000 Ba
0.5000 0.0000 0.0000 Ba
0.5000 0.5000 0.5000 La
0.0000 0.5000 0.0000 Ta
```

energy relative to the lowest polymorph listed for this composition	0.0	meV/atom
E_form	0.75	eV per atom
theoretical density	6087	kg/m3
electronic total energy	-4.54	eV per atom